VASP calculation (PBE) on an optimized crystal structure of BC.

a b c (Å): 4.5120 2.6743 6.8303
angles (deg): 90.00 94.11 90.00
Closest atoms and distances in Å follow each position.
Space group Pm (No. 6)
Symmetry-distinct sites (fractional):
B  0.0000  0.0000  0.0000 x1  3 C 1.64-1.66, 1 B 1.77
B  0.0362  0.0000  0.7441 x1  4 B 1.74-1.83
B  0.3890  0.0000  0.6262 x1  3 C 1.60
B  0.4907  0.5000  0.9905 x1  4 C 1.63-1.66
B  0.7909  0.5000  0.7135 x1  1 C 1.55, 2 B 1.74
B  0.8624  0.5000  0.3537 x1  3 C 1.58-1.59
C  0.1665  0.5000  0.0913 x1  1 C 1.51, 3 B 1.64-1.66
C  0.2035  0.5000  0.3131 x1  3 C 1.51-1.60, 1 B 1.58
C  0.3672  0.0000  0.3919 x1  3 C 1.55-1.60, 1 B 1.60
C  0.4551  0.5000  0.7510 x1  4 B 1.55-1.63
C  0.6650  0.0000  0.0871 x1  1 C 1.51, 3 B 1.66
C  0.6791  0.0000  0.3093 x1  2 C 1.51-1.55, 2 B 1.59

Results
**Energy above the most stable polymorph in this dataset**: 0.615 eV/f.u.
**Spin magnetization**: 0.00 μB/atom

***

VASP calculation (PBE) on an optimized crystal structure of B3C.

a b c (Å): 11.6956 2.7142 5.7621
angles (deg): 90.00 97.73 90.00
Closest atoms and distances in Å follow each position.
Space group Cm (No. 8)
Symmetry-distinct sites (fractional):
B  0.0000  0.0000  0.0000 x2  2 C 1.61-1.62
B  0.0006  0.0000  0.5107 x2  2 C 1.60-1.62
B  0.1202  0.5000  0.3488 x2  2 C 1.58
B  0.1253  0.5000  0.7096 x2  2 C 1.58
B  0.2474  0.5000  0.5562 x2  5 B 1.77-1.82
B  0.2605  0.5000  0.2457 x2  2 C 1.55
B  0.3196  0.0000  0.7086 x2  4 B 1.62-1.77
B  0.3582  0.0000  0.4433 x2  1 C 1.58, 1 B 1.65
B  0.3847  0.0000  0.9757 x2  1 C 1.53, 1 B 1.62
C  0.0564  0.0000  0.2714 x2  4 B 1.58-1.61
C  0.0689  0.0000  0.7749 x2  4 B 1.58-1.62
C  0.3097  0.0000  0.1747 x2  4 B 1.53-1.58

Results
**Energy above the most stable polymorph in this dataset**: 0.520 eV/f.u.
**Spin magnetization**: 0.00 μB/atom

***

VASP calculation (PBE) on an optimized crystal structure of BC.

a b c (Å): 4.6079 2.7096 6.4663
angles (deg): 90.00 106.13 90.00
Closest atoms and distances in Å follow each position.
Space group Pm (No. 6)
Symmetry-distinct sites (fractional):
B  0.0000  0.0000  0.0000 x1  5 B 1.64-1.79
B  0.0103  0.0000  0.2791 x1  2 C 1.64-1.78, 1 B 1.79
B  0.1263  0.5000  0.5439 x1  3 C 1.59-1.61
B  0.1403  0.5000  0.1322 x1  1 C 1.63, 2 B 1.64
B  0.3808  0.0000  0.8010 x1  3 C 1.55-1.71
B  0.8360  0.5000  0.8600 x1  2 C 1.63-1.69, 2 B 1.69
C  0.3005  0.0000  0.5262 x1  1 C 1.59, 4 B 1.59-1.78
C  0.4953  0.5000  0.9120 x1  1 C 1.53, 3 B 1.55-1.69
C  0.5002  0.5000  0.1502 x1  3 C 1.53-1.61, 1 B 1.63
C  0.6334  0.0000  0.5004 x1  4 C 1.53-1.62
C  0.6509  0.0000  0.2670 x1  3 C 1.53-1.61, 1 B 1.64
C  0.8092  0.5000  0.6040 x1  2 B 1.61-1.63, 2 C 1.62

Results
**Energy above the most stable polymorph in this dataset**: 0.444 eV/f.u.
**Spin magnetization**: 0.00 μB/atom

***

VASP calculation (PBE) on an optimized crystal structure of B7C5.

a b c (Å): 14.2180 2.6062 4.7294
angles (deg): 90.00 105.81 90.00
Closest atoms and distances in Å follow each position.
Space group Cm (No. 8)
Symmetry-distinct sites (fractional):
B  0.0000  0.0000  0.0000 x2  3 C 1.56-1.60
B  0.0009  0.5000  0.4192 x2  2 C 1.58-1.61
B  0.0683  0.0000  0.6395 x2  3 B 1.68-1.78
B  0.1670  0.5000  0.2444 x2  2 C 1.60-1.65
B  0.1831  0.0000  0.8590 x2  2 C 1.53, 1 B 1.68
B  0.2318  0.0000  0.5117 x2  1 C 1.63
B  0.3469  0.5000  0.1227 x2  4 C 1.61-1.69
C  0.0503  0.5000  0.1497 x2  4 B 1.56-1.61
C  0.2298  0.5000  0.9976 x2  4 B 1.53-1.65
C  0.3505  0.0000  0.6351 x2  3 C 1.55-1.57, 1 B 1.63
C  0.3858  0.0000  0.3533 x2  1 C 1.55, 3 B 1.58-1.69
C  0.3869  0.5000  0.8186 x2  2 C 1.57, 2 B 1.60-1.68

Results
**Energy above the most stable polymorph in this dataset**: 3.404 eV/f.u.
**Spin magnetization**: 0.00 μB/atom

***

Number 1: E -89.91 eV per cell. Number 2: E -166.64 eV per cell. Number 3: E -90.93 eV per cell. Number 4: E -174.97 eV per cell.